ScAg2GeS4: relaxed, PBE.

a b c (Å): 5.811 5.810 7.029
angles (deg): 114.41 114.41 90.01
Fractional coordinates of all 8 atoms:
S 0.369 0.843 0.227
S 0.858 0.384 0.227
Ag 0.486 0.986 0.972
Ag 0.236 0.236 0.472
Ge 0.736 0.736 0.472
Sc 0.986 0.486 0.972
S 0.629 0.614 0.717
S 0.088 0.103 0.717

Results
Space-group type: I-4
Magnetization (μB per atom): 0.00
DFT total energy (eV/atom): -4.745
Crystal system: tetragonal